Entry 1:
Material: HgBiAu
Method: DFT, PBE
State: relaxed

```
HgBiAu
1.0
-3.7540 -1.9702 -0.4840
3.4586 -2.2409 1.1068
-1.0566 0.8029 4.9275
Bi Au Hg
1 1 1
Direct
0.3333 0.6667 0.6321
0.6667 0.3333 0.3352
0.0000 0.0000 0.0327
```

Results
DOS(E_F)	1.5	states/eV/cell
uncorrected energy	-2.4282	eV per atom
total magnetic moment	0.0	Bohr magnetons per cell

=====

Entry 2:
Material: BaPuCdBi
Method: DFT, PBE
State: relaxed

```
BaPuCdBi
1.0
-4.0034 3.0493 -2.8339
-2.5991 -2.2541 -4.6390
-5.5528 -1.5643 0.2759
Ba Pu Cd Bi
1 1 1 1
Direct
0.7500 0.7500 0.7500
0.2500 0.2500 0.2500
0.0000 0.0000 0.0000
0.5000 0.5000 0.5000
```

Results
DOS(E_F)	14.4	states/eV/cell
uncorrected energy	-5.5360	eV per atom
total magnetic moment	6.7	Bohr magnetons per cell

=====

Entry 3:
Material: NdSiAu3
Method: DFT, PBE
State: relaxed

```
NdSiAu3
1.0
-1.5228 4.1622 -0.5869
-3.7883 -1.0826 2.1130
-0.4953 2.9444 5.3041
Nd Au Si
1 3 1
Direct
0.3987 0.2022 0.9107
0.6314 0.9427 0.4344
0.8089 0.6124 0.0924
0.1392 0.4349 0.4344
0.0296 0.8330 0.6392
```

Results
DOS(E_F)	2.2	states/eV/cell
uncorrected energy	-4.5827	eV per atom
raw formation energy	-578	meV per atom
total magnetic moment	0.0	Bohr magnetons per cell